# 1
Here is crystalline SrScSiMo2 at its relaxed geometry from the Alexandria database. Energies are from PBE-GGA.

Results
The value obtained for the total energy is -4.503 eV/atom. The value obtained for the density of states at the Fermi level is 7.3 states/eV/f.u. The total magnetization is 0.00 μB per formula unit. As for the space group: No. 123. As for the uncorrected formation energy: 2.52 eV/atom.

a = 4.7778 Å, b = 4.7778 Å, c = 4.8631 Å
α = 90.00°, β = 90.00°, γ = 90.00°
With the nearest neighbours (Å) after each atom.
Sites, in units of the cell vectors:
Sr: 0.0000 0.0000 0.0000  4 Mo 2.39, 2 Sc 2.43
Sc: 0.0000 0.0000 0.5000  2 Sr 2.43
Si: 0.5000 0.5000 0.5000  4 Sc 3.38, 8 Mo 3.41
Mo: 0.0000 0.5000 0.0000  2 Sr 2.39
Mo: 0.5000 0.0000 0.0000  2 Sr 2.39



# 2
Here is crystalline ScTiSiMo2 at its relaxed geometry from the Alexandria database. Energies are from PBE-GGA.

Results
The value obtained for the total energy is -7.611 eV/atom. The value obtained for the density of states at the Fermi level is 8.6 states/eV/f.u. The total magnetization is 0.00 μB per formula unit. As for the space group: No. 123. As for the uncorrected formation energy: 0.65 eV/atom.

a = 4.5463 Å, b = 4.5463 Å, c = 4.7689 Å
α = 90.00°, β = 90.00°, γ = 90.00°
With the nearest neighbours (Å) after each atom.
Sites, in units of the cell vectors:
Sc: 0.0000 0.0000 0.0000  2 Si 2.38
Ti: 0.5000 0.5000 0.0000  4 Sc 3.21, 8 Mo 3.29
Si: 0.0000 0.0000 0.5000  4 Mo 2.27, 2 Sc 2.38
Mo: 0.0000 0.5000 0.5000  2 Si 2.27
Mo: 0.5000 0.0000 0.5000  2 Si 2.27



# 3
Here is crystalline ScZn2SiMo at its relaxed geometry from the Alexandria database. Energies are from PBE-GGA.

Results
The value obtained for the total energy is -3.535 eV/atom. The value obtained for the density of states at the Fermi level is 3.5 states/eV/f.u. The total magnetization is 1.38 μB per formula unit. As for the space group: No. 123. As for the uncorrected formation energy: 1.49 eV/atom.

a = 5.0146 Å, b = 5.0146 Å, c = 4.6105 Å
α = 90.00°, β = 90.00°, γ = 90.00°
With the nearest neighbours (Å) after each atom.
Sites, in units of the cell vectors:
Sc: 0.0000 0.0000 0.0000  2 Mo 2.31, 4 Zn 2.51
Zn: 0.0000 0.5000 0.0000  2 Sc 2.51
Zn: 0.5000 0.0000 0.0000  2 Sc 2.51
Si: 0.5000 0.5000 0.5000  8 Zn 3.41, 4 Mo 3.55
Mo: 0.0000 0.0000 0.5000  2 Sc 2.31



# 4
Here is crystalline ScZn2SiMo at its relaxed geometry from the Alexandria database. Energies are from PBE-GGA.

Results
The value obtained for the total energy is -4.199 eV/atom. The value obtained for the density of states at the Fermi level is 3.8 states/eV/f.u. The total magnetization is 3.18 μB per formula unit. As for the space group: No. 123. As for the uncorrected formation energy: 0.83 eV/atom.

a = 4.5419 Å, b = 4.5419 Å, c = 4.9858 Å
α = 90.00°, β = 90.00°, γ = 90.00°
With the nearest neighbours (Å) after each atom.
Sites, in units of the cell vectors:
Sc: 0.0000 0.0000 0.0000  2 Si 2.49
Zn: 0.0000 0.5000 0.5000  2 Si 2.27
Zn: 0.5000 0.0000 0.5000  2 Si 2.27
Si: 0.0000 0.0000 0.5000  4 Zn 2.27, 2 Sc 2.49
Mo: 0.5000 0.5000 0.0000  4 Sc 3.21, 8 Zn 3.37



# 5
Here is crystalline Sc2ZnSiMo at its relaxed geometry from the Alexandria database. Energies are from PBE-GGA.

Results
The value obtained for the total energy is -5.260 eV/atom. The value obtained for the density of states at the Fermi level is 5.5 states/eV/f.u. The total magnetization is 0.00 μB per formula unit. As for the space group: No. 123. As for the uncorrected formation energy: 0.78 eV/atom.

a = 4.8993 Å, b = 4.8993 Å, c = 4.8943 Å
α = 90.00°, β = 90.00°, γ = 90.00°
With the nearest neighbours (Å) after each atom.
Sites, in units of the cell vectors:
Sc: 0.0000 0.5000 0.0000  2 Mo 2.45
Sc: 0.5000 0.0000 0.0000  2 Mo 2.45
Zn: 0.0000 0.0000 0.5000  2 Mo 2.45
Si: 0.5000 0.5000 0.5000  8 Sc 3.46, 4 Zn 3.46
Mo: 0.0000 0.0000 0.0000  2 Zn 2.45, 4 Sc 2.45



# 6
Here is crystalline ZrScSi2Mo at its relaxed geometry from the Alexandria database. Energies are from PBE-GGA.

Results
The value obtained for the total energy is -6.320 eV/atom. The value obtained for the density of states at the Fermi level is 5.3 states/eV/f.u. The total magnetization is 1.11 μB per formula unit. As for the space group: No. 123. As for the uncorrected formation energy: 0.99 eV/atom.

a = 4.9476 Å, b = 4.9476 Å, c = 4.8078 Å
α = 90.00°, β = 90.00°, γ = 90.00°
With the nearest neighbours (Å) after each atom.
Sites, in units of the cell vectors:
Zr: 0.0000 0.0000 0.0000  2 Mo 2.40, 4 Si 2.47
Sc: 0.5000 0.5000 0.5000  8 Si 3.45, 4 Mo 3.50
Si: 0.0000 0.5000 0.0000  2 Zr 2.47
Si: 0.5000 0.0000 0.0000  2 Zr 2.47
Mo: 0.0000 0.0000 0.5000  2 Zr 2.40



# 7
Here is crystalline SmScMo4 at its relaxed geometry from the Alexandria database. Energies are from PBE-GGA.

Results
The value obtained for the total energy is -8.949 eV/atom. The value obtained for the formation energy is 0.113 eV/atom. The value obtained for the density of states at the Fermi level is 7.9 states/eV/f.u. The total magnetization is 0.00 μB per formula unit. As for the space group: No. 216.

a = 5.4740 Å, b = 5.4740 Å, c = 5.4740 Å
α = 60.00°, β = 60.00°, γ = 60.00°
With the nearest neighbours (Å) after each atom.
Sites, in units of the cell vectors:
Sm: 0.0000 0.0000 0.0000  12 Mo 3.21, 4 Sc 3.35
Sc: 0.7500 0.7500 0.7500  12 Mo 3.21, 4 Sm 3.35
Mo: 0.3748 0.3748 0.3748  6 Mo 2.73-2.74
Mo: 0.3748 0.3748 0.8755  6 Mo 2.73-2.74
Mo: 0.3748 0.8755 0.3748  6 Mo 2.73-2.74
Mo: 0.8755 0.3748 0.3748  6 Mo 2.73-2.74



# 8
Here is crystalline ScSnMo at its relaxed geometry from the Alexandria database. Energies are from PBE-GGA.

Results
The value obtained for the total energy is -6.901 eV/atom. The value obtained for the formation energy is 0.154 eV/atom. The value obtained for the density of states at the Fermi level is 2.0 states/eV/f.u. The total magnetization is 0.00 μB per formula unit. As for the space group: No. 166.

a = 7.1047 Å, b = 7.1047 Å, c = 7.1047 Å
α = 39.53°, β = 39.53°, γ = 39.53°
With the nearest neighbours (Å) after each atom.
Sites, in units of the cell vectors:
Sc: 0.1306 0.1306 0.1306  4 Mo 2.84-3.12, 3 Sn 2.94, 3 Sc 3.11
Sc: 0.8694 0.8694 0.8694  4 Mo 2.84-3.12, 3 Sn 2.94, 3 Sc 3.11
Sn: 0.4142 0.4142 0.4142  4 Mo 2.73-2.81, 3 Sc 2.94
Sn: 0.5858 0.5858 0.5858  4 Mo 2.73-2.81, 3 Sc 2.94
Mo: 0.2753 0.2753 0.2753  4 Sn 2.73-2.81, 1 Sc 2.84
Mo: 0.7247 0.7247 0.7247  4 Sn 2.73-2.81, 1 Sc 2.84



total energy of number 8 (ScSnMo)? -6.901 eV/atom